1.
# SrFeP2Os | OQMD via LeMat-Bulk | PBE | relaxed
# Calculated total energy   -7.132 eV/atom
# Mass density   7.396 Mg/m³
# Crystal system   tetragonal
data_SrFeP2Os
_chemical_formula_sum 'Sr1 Fe1 P2 Os1'
_space_group_name_H-M_alt 'P 1'
_space_group_IT_number 1
_cell_length_a 6.405
_cell_length_b 6.405
_cell_length_c 6.405
_cell_angle_alpha 144.34
_cell_angle_beta 144.34
_cell_angle_gamma 51.32
loop_
_space_group_symop_operation_xyz
'x,y,z'
loop_
_atom_site_label
_atom_site_type_symbol
_atom_site_fract_x
_atom_site_fract_y
_atom_site_fract_z
_atom_site_occupancy
P1 P 0.600 0.100 0.500 1
P2 P 0.900 0.400 0.500 1
Os1 Os 0.500 0.500 0.000 1
Sr1 Sr 0.250 0.750 0.500 1
Fe1 Fe 0.000 0.000 0.000 1



2.
# PaFeOs | OQMD via LeMat-Bulk | PBE | relaxed
# Offset from the most stable computed form   0 meV per atom
# Mass density   14.473 Mg/m³
# ΔH_f (0 K)   0.1437 eV/atom
# Crystal system   cubic
data_PaFeOs
_chemical_formula_sum 'Pa1 Fe1 Os1'
_space_group_name_H-M_alt 'P 1'
_space_group_IT_number 1
_cell_length_a 4.262
_cell_length_b 4.262
_cell_length_c 4.262
_cell_angle_alpha 60.00
_cell_angle_beta 60.00
_cell_angle_gamma 60.00
loop_
_space_group_symop_operation_xyz
'x,y,z'
loop_
_atom_site_label
_atom_site_type_symbol
_atom_site_fract_x
_atom_site_fract_y
_atom_site_fract_z
_atom_site_occupancy
Os1 Os 0.750 0.750 0.750 1
Fe1 Fe 0.000 0.000 0.000 1
Pa1 Pa 0.250 0.250 0.250 1



3.
# PaFeOs | OQMD via LeMat-Bulk | PBE | relaxed
# Offset from the most stable computed form   425 meV per atom
# Mass density   13.676 Mg/m³
# ΔH_f (0 K)   0.5692 eV/atom
# Crystal system   cubic
data_PaFeOs
_chemical_formula_sum 'Pa1 Fe1 Os1'
_space_group_name_H-M_alt 'P 1'
_space_group_IT_number 1
_cell_length_a 4.343
_cell_length_b 4.343
_cell_length_c 4.343
_cell_angle_alpha 60.00
_cell_angle_beta 60.00
_cell_angle_gamma 60.00
loop_
_space_group_symop_operation_xyz
'x,y,z'
loop_
_atom_site_label
_atom_site_type_symbol
_atom_site_fract_x
_atom_site_fract_y
_atom_site_fract_z
_atom_site_occupancy
Fe1 Fe 0.250 0.250 0.250 1
Pa1 Pa 0.000 0.000 0.000 1
Os1 Os 0.750 0.750 0.750 1



4.
# FeOsPtPb | OQMD via LeMat-Bulk | PBE | relaxed
# Offset from the most stable computed form   0 meV per atom
# Mass density   16.339 Mg/m³
# Crystal system   cubic
data_FeOsPtPb
_chemical_formula_sum 'Fe1 Os1 Pt1 Pb1'
_space_group_name_H-M_alt 'P 1'
_space_group_IT_number 1
_cell_length_a 4.534
_cell_length_b 4.534
_cell_length_c 4.534
_cell_angle_alpha 60.00
_cell_angle_beta 60.00
_cell_angle_gamma 60.00
loop_
_space_group_symop_operation_xyz
'x,y,z'
loop_
_atom_site_label
_atom_site_type_symbol
_atom_site_fract_x
_atom_site_fract_y
_atom_site_fract_z
_atom_site_occupancy
Pb1 Pb 0.000 0.000 0.000 1
Pt1 Pt 0.500 0.500 0.500 1
Fe1 Fe 0.750 0.750 0.750 1
Os1 Os 0.250 0.250 0.250 1



5.
# FeReOsPb | OQMD via LeMat-Bulk | PBE | relaxed
# Offset from the most stable computed form   0 meV per atom
# Mass density   16.592 Mg/m³
# Crystal system   cubic
data_FeReOsPb
_chemical_formula_sum 'Fe1 Re1 Os1 Pb1'
_space_group_name_H-M_alt 'P 1'
_space_group_IT_number 1
_cell_length_a 4.490
_cell_length_b 4.490
_cell_length_c 4.490
_cell_angle_alpha 60.00
_cell_angle_beta 60.00
_cell_angle_gamma 60.00
loop_
_space_group_symop_operation_xyz
'x,y,z'
loop_
_atom_site_label
_atom_site_type_symbol
_atom_site_fract_x
_atom_site_fract_y
_atom_site_fract_z
_atom_site_occupancy
Pb1 Pb 0.000 0.000 0.000 1
Fe1 Fe 0.750 0.750 0.750 1
Os1 Os 0.250 0.250 0.250 1
Re1 Re 0.500 0.500 0.500 1



6.
# TaFeOsPb | OQMD via LeMat-Bulk | PBE | relaxed
# Offset from the most stable computed form   273 meV per atom
# Mass density   15.436 Mg/m³
# Crystal system   cubic
data_TaFeOsPb
_chemical_formula_sum 'Ta1 Fe1 Os1 Pb1'
_space_group_name_H-M_alt 'P 1'
_space_group_IT_number 1
_cell_length_a 4.587
_cell_length_b 4.587
_cell_length_c 4.587
_cell_angle_alpha 60.00
_cell_angle_beta 60.00
_cell_angle_gamma 60.00
loop_
_space_group_symop_operation_xyz
'x,y,z'
loop_
_atom_site_label
_atom_site_type_symbol
_atom_site_fract_x
_atom_site_fract_y
_atom_site_fract_z
_atom_site_occupancy
Os1 Os 0.500 0.500 0.500 1
Fe1 Fe 0.750 0.750 0.750 1
Ta1 Ta 0.250 0.250 0.250 1
Pb1 Pb 0.000 0.000 0.000 1



7.
# TaFeOsPb | OQMD via LeMat-Bulk | PBE | relaxed
# Offset from the most stable computed form   0 meV per atom
# Mass density   16.016 Mg/m³
# Crystal system   cubic
data_TaFeOsPb
_chemical_formula_sum 'Ta1 Fe1 Os1 Pb1'
_space_group_name_H-M_alt 'P 1'
_space_group_IT_number 1
_cell_length_a 4.531
_cell_length_b 4.531
_cell_length_c 4.531
_cell_angle_alpha 60.00
_cell_angle_beta 60.00
_cell_angle_gamma 60.00
loop_
_space_group_symop_operation_xyz
'x,y,z'
loop_
_atom_site_label
_atom_site_type_symbol
_atom_site_fract_x
_atom_site_fract_y
_atom_site_fract_z
_atom_site_occupancy
Fe1 Fe 0.750 0.750 0.750 1
Os1 Os 0.250 0.250 0.250 1
Ta1 Ta 0.500 0.500 0.500 1
Pb1 Pb 0.000 0.000 0.000 1



8.
# FeTcOsPb | OQMD via LeMat-Bulk | PBE | relaxed
# Offset from the most stable computed form   0 meV per atom
# Mass density   14.357 Mg/m³
# Crystal system   cubic
data_FeTcOsPb
_chemical_formula_sum 'Fe1 Tc1 Os1 Pb1'
_space_group_name_H-M_alt 'P 1'
_space_group_IT_number 1
_cell_length_a 4.484
_cell_length_b 4.484
_cell_length_c 4.484
_cell_angle_alpha 60.00
_cell_angle_beta 60.00
_cell_angle_gamma 60.00
loop_
_space_group_symop_operation_xyz
'x,y,z'
loop_
_atom_site_label
_atom_site_type_symbol
_atom_site_fract_x
_atom_site_fract_y
_atom_site_fract_z
_atom_site_occupancy
Pb1 Pb 0.000 0.000 0.000 1
Os1 Os 0.500 0.500 0.500 1
Tc1 Tc 0.250 0.250 0.250 1
Fe1 Fe 0.750 0.750 0.750 1